[1]
YLuPtRh: relaxed, GGA-PBE.

Unit cell a=4.849 b=4.849 c=4.849 alpha=60.00 beta=60.00 gamma=60.00
Fractional coordinates of all 4 atoms:
Y (0.000, 0.000, 0.000)
Lu (0.500, 0.500, 0.500)
Pt (0.250, 0.250, 0.250)
Rh (0.750, 0.750, 0.750)

## Properties
ρ   11.6 Mg/m³
E_form   -1083 meV per atom
Electronic total energy   -0.2637 Ha/atom

[2]
Ac3PtPbSe: relaxed, GGA-PBE.

Unit cell a=8.842 b=4.627 c=11.031 alpha=90.00 beta=108.76 gamma=90.00
Fractional coordinates of all 12 atoms:
Ac (0.067, 0.250, 0.249)
Ac (0.312, 0.750, 0.042)
Ac (0.399, 0.750, 0.634)
Ac (0.601, 0.250, 0.366)
Ac (0.688, 0.250, 0.958)
Ac (0.933, 0.750, 0.751)
Pt (0.064, 0.250, 0.957)
Pt (0.936, 0.750, 0.043)
Pb (0.247, 0.250, 0.782)
Pb (0.753, 0.750, 0.218)
Se (0.345, 0.750, 0.343)
Se (0.655, 0.250, 0.657)

## Properties
ρ   9.0 Mg/m³
E_form (uncorrected)   -1074 meV per atom
Electronic total energy   -0.1960 Ha/atom

[3]
Hf6PbO18: relaxed, GGA-PBE.

Unit cell a=7.181 b=7.181 c=8.814 alpha=106.49 beta=106.49 gamma=68.59
Fractional coordinates of all 25 atoms:
Hf (0.000, 0.500, 0.000)
Hf (0.159, 0.668, 0.665)
Hf (0.332, 0.841, 0.335)
Hf (0.500, 0.000, 0.000)
Hf (0.668, 0.159, 0.665)
Hf (0.841, 0.332, 0.335)
Pb (0.500, 0.500, 0.000)
O (0.000, 0.500, 0.500)
O (0.088, 0.088, 0.305)
O (0.116, 0.686, 0.202)
O (0.169, 0.579, 0.881)
O (0.264, 0.264, 0.050)
O (0.268, 0.732, 0.500)
O (0.314, 0.884, 0.798)
O (0.421, 0.831, 0.119)
O (0.462, 0.462, 0.730)
O (0.500, 0.000, 0.500)
O (0.538, 0.538, 0.270)
O (0.579, 0.169, 0.881)
O (0.686, 0.116, 0.202)
O (0.732, 0.268, 0.500)
O (0.736, 0.736, 0.950)
O (0.831, 0.421, 0.119)
O (0.884, 0.314, 0.798)
O (0.912, 0.912, 0.695)

## Properties
ρ   6.5 Mg/m³
E_form (uncorrected)   -2189 meV per atom
Electronic total energy   -0.3049 Ha/atom

[4]
CdTc2Ru2: relaxed, GGA-PBE.

Unit cell a=7.620 b=7.620 c=2.761 alpha=90.00 beta=90.00 gamma=90.00
Fractional coordinates of all 10 atoms:
Cd (0.000, 0.000, 0.000)
Cd (0.500, 0.500, 0.000)
Tc (0.120, 0.380, 0.000)
Tc (0.380, 0.880, 0.000)
Tc (0.620, 0.120, 0.000)
Tc (0.880, 0.620, 0.000)
Ru (0.166, 0.666, 0.500)
Ru (0.334, 0.166, 0.500)
Ru (0.666, 0.834, 0.500)
Ru (0.834, 0.334, 0.500)

## Properties
ρ   10.6 Mg/m³
E_form   211 meV per atom
Electronic total energy   -0.2877 Ha/atom

[5]
ZrCr3C: relaxed, GGA-PBE.

Unit cell a=4.501 b=4.501 c=4.501 alpha=90.00 beta=90.00 gamma=90.00
Fractional coordinates of all 5 atoms:
Zr (0.000, 0.000, 0.000)
Cr (0.000, 0.000, 0.500)
Cr (0.000, 0.500, 0.000)
Cr (0.500, 0.000, 0.000)
C (0.500, 0.500, 0.500)

## Properties
ρ   4.7 Mg/m³
E_form   3335 meV per atom
Electronic total energy   -0.2202 Ha/atom

[6]
KNi2BRu: relaxed, GGA-PBE.

Unit cell a=3.901 b=3.901 c=5.023 alpha=90.00 beta=90.00 gamma=90.00
Fractional coordinates of all 5 atoms:
K (0.000, 0.000, 0.000)
Ni (0.000, 0.500, 0.500)
Ni (0.500, 0.000, 0.500)
B (0.000, 0.000, 0.500)
Ru (0.500, 0.500, 0.000)

## Properties
ρ   5.8 Mg/m³
E_form   1166 meV per atom
Electronic total energy   -0.1675 Ha/atom

[7]
MnSb: relaxed, GGA-PBE.

Unit cell a=5.134 b=5.134 c=7.902 alpha=90.00 beta=90.00 gamma=120.00
Fractional coordinates of all 8 atoms:
Mn (0.333, 0.667, 0.088)
Mn (0.333, 0.667, 0.412)
Mn (0.667, 0.333, 0.588)
Mn (0.667, 0.333, 0.912)
Sb (0.000, 0.000, 0.250)
Sb (0.000, 0.000, 0.750)
Sb (0.333, 0.667, 0.750)
Sb (0.667, 0.333, 0.250)

## Properties
ρ   6.5 Mg/m³
E_form (uncorrected)   633 meV per atom
Electronic total energy   -0.2210 Ha/atom

[8]
MnTcHg3: relaxed, GGA-PBE.

Unit cell a=5.285 b=5.285 c=5.285 alpha=90.00 beta=90.00 gamma=90.00
Fractional coordinates of all 5 atoms:
Mn (0.000, 0.000, 0.000)
Tc (0.500, 0.500, 0.500)
Hg (0.000, 0.500, 0.500)
Hg (0.500, 0.000, 0.500)
Hg (0.500, 0.500, 0.000)

## Properties
ρ   8.5 Mg/m³
E_form   1094 meV per atom
Electronic total energy   -0.1100 Ha/atom